The following is a DFT calculation (GGA-PBE) of a relaxed HoHgSO crystal.

```
HoHgSO
1.0
3.921 0.000 0.000
0.000 3.921 0.000
0.000 0.000 9.942
Hg Ho O S
2 2 2 2
Direct
0.750 0.250 0.500 Hg
0.250 0.750 0.500 Hg
0.250 0.250 0.109 Ho
0.750 0.750 0.891 Ho
0.750 0.250 0.000 O
0.250 0.750 0.000 O
0.750 0.750 0.259 S
0.250 0.250 0.741 S
```

## Properties
**E above lowest polymorph**: 134 meV per atom
**Symmetry**: No. 129
**VASP energy**: -0.3833 Ry/atom

---

The following is a DFT calculation (GGA-PBE) of a relaxed HoHgSO crystal.

```
HoHgSO
1.0
-1.991 -1.392 5.031
1.946 -5.198 -0.668
11.262 3.567 5.051
Hg Ho O S
4 4 4 4
Direct
0.998 0.339 0.266 Hg
0.633 0.595 0.497 Hg
0.367 0.095 0.503 Hg
0.002 0.839 0.734 Hg
0.503 0.322 0.083 Ho
0.004 0.824 0.084 Ho
0.996 0.324 0.916 Ho
0.497 0.822 0.917 Ho
0.750 0.072 0.000 O
0.250 0.572 0.000 O
0.247 0.070 0.000 O
0.753 0.570 0.000 O
0.702 0.635 0.239 S
0.292 0.043 0.243 S
0.708 0.543 0.757 S
0.298 0.135 0.761 S
```

## Properties
**E above lowest polymorph**: 0 meV per atom
**Symmetry**: No. 4
**VASP energy**: -0.3931 Ry/atom

---

The following is a DFT calculation (GGA-PBE) of a relaxed HoHgSeO crystal.

```
HoHgSeO
1.0
-4.042 -1.983 -1.332
2.793 -0.038 -8.417
2.200 -4.991 0.753
Hg Ho O Se
2 2 2 2
Direct
0.000 0.305 0.129 Hg
0.000 0.695 0.629 Hg
0.500 0.865 0.045 Ho
0.500 0.135 0.545 Ho
0.500 0.080 0.183 O
0.500 0.920 0.683 O
0.000 0.693 0.134 Se
0.000 0.307 0.634 Se
```

## Properties
**E above lowest polymorph**: 226 meV per atom
**Symmetry**: No. 26
**VASP energy**: -0.3637 Ry/atom

---

The following is a DFT calculation (GGA-PBE) of a relaxed HoHgSeO crystal.

```
HoHgSeO
1.0
7.502 0.000 0.352
0.000 7.077 0.000
-0.416 0.000 6.804
Hg Ho O Se
4 4 4 4
Direct
0.983 0.689 0.009 Hg
0.017 0.189 0.491 Hg
0.983 0.811 0.509 Hg
0.017 0.311 0.991 Hg
0.545 0.643 0.191 Ho
0.455 0.143 0.309 Ho
0.545 0.857 0.691 Ho
0.455 0.357 0.809 Ho
0.556 0.347 0.105 O
0.444 0.847 0.395 O
0.556 0.153 0.605 O
0.444 0.653 0.895 O
0.760 0.977 0.051 Se
0.240 0.477 0.449 Se
0.760 0.523 0.551 Se
0.240 0.023 0.949 Se
```

## Properties
**E above lowest polymorph**: 98 meV per atom
**Symmetry**: No. 14
**VASP energy**: -0.3731 Ry/atom

---

The following is a DFT calculation (GGA-PBE) of a relaxed HoHgSeO crystal.

```
HoHgSeO
1.0
3.994 0.000 0.000
0.000 3.994 0.000
0.000 0.000 10.104
Hg Ho O Se
2 2 2 2
Direct
0.750 0.250 0.500 Hg
0.250 0.750 0.500 Hg
0.250 0.250 0.104 Ho
0.750 0.750 0.896 Ho
0.750 0.250 0.000 O
0.250 0.750 0.000 O
0.750 0.750 0.258 Se
0.250 0.250 0.742 Se
```

## Properties
**E above lowest polymorph**: 105 meV per atom
**Symmetry**: No. 129
**VASP energy**: -0.3726 Ry/atom

---

The following is a DFT calculation (GGA-PBE) of a relaxed HoHgSeO crystal.

```
HoHgSeO
1.0
5.660 0.000 -0.007
0.000 5.657 0.000
-0.434 0.000 13.008
Hg Ho O Se
4 4 4 4
Direct
0.998 0.341 0.263 Hg
0.620 0.595 0.496 Hg
0.380 0.095 0.504 Hg
0.002 0.841 0.737 Hg
0.504 0.321 0.079 Ho
0.006 0.822 0.081 Ho
0.994 0.322 0.919 Ho
0.496 0.821 0.921 Ho
0.750 0.070 0.000 O
0.250 0.570 0.000 O
0.245 0.068 0.000 O
0.755 0.568 0.000 O
0.686 0.653 0.242 Se
0.307 0.031 0.248 Se
0.693 0.531 0.752 Se
0.314 0.153 0.758 Se
```

## Properties
**E above lowest polymorph**: 0 meV per atom
**Symmetry**: No. 4
**VASP energy**: -0.3803 Ry/atom

---

The following is a DFT calculation (GGA-PBE) of a relaxed HoHgTeO crystal.

```
HoHgTeO
1.0
-4.258 3.284 5.680
-5.729 -0.650 -3.919
-0.609 -7.123 2.072
Hg Ho O Te
4 4 4 4
Direct
0.991 0.313 0.053 Hg
0.009 0.813 0.447 Hg
0.991 0.187 0.553 Hg
0.009 0.687 0.947 Hg
0.484 0.664 0.160 Ho
0.516 0.164 0.340 Ho
0.484 0.836 0.660 Ho
0.516 0.336 0.840 Ho
0.557 0.371 0.131 O
0.443 0.871 0.369 O
0.557 0.129 0.631 O
0.443 0.629 0.869 O
0.765 0.969 0.069 Te
0.235 0.469 0.431 Te
0.765 0.531 0.569 Te
0.235 0.031 0.931 Te
```

## Properties
**E above lowest polymorph**: 24 meV per atom
**Symmetry**: No. 14
**VASP energy**: -0.3576 Ry/atom

---

The following is a DFT calculation (GGA-PBE) of a relaxed HoHgTeO crystal.

```
HoHgTeO
1.0
-2.226 4.300 0.705
-2.803 -2.806 8.261
4.899 2.144 2.390
Hg Ho O Te
2 2 2 2
Direct
0.000 0.302 0.137 Hg
0.000 0.698 0.637 Hg
0.500 0.874 0.025 Ho
0.500 0.126 0.525 Ho
0.500 0.071 0.188 O
0.500 0.929 0.688 O
0.000 0.688 0.142 Te
0.000 0.312 0.642 Te
```

## Properties
**E above lowest polymorph**: 134 meV per atom
**Symmetry**: No. 26
**VASP energy**: -0.3495 Ry/atom

---

Q: Which of these has the highest VASP energy?
A: number 8